1.
The following is a PBE-GGA calculation of a relaxed TbNi4Ir crystal, from Alexandria via LeMat-Bulk.

Cell and atoms, written as CIF:
```
data_TbNi4Ir
_chemical_formula_sum 'Tb2 Ni8 Ir2'
_symmetry_space_group_name_H-M 'P m m a'
_symmetry_Int_Tables_number 51
_symmetry_space_group_name_Hall '-P 2a 2a'
_cell_length_a 6.8689
_cell_length_b 3.9853
_cell_length_c 6.6110
_cell_angle_alpha 90.00
_cell_angle_beta 90.00
_cell_angle_gamma 90.00
loop_
_atom_site_label
_atom_site_type_symbol
_atom_site_fract_x
_atom_site_fract_y
_atom_site_fract_z
_atom_site_occupancy
Tb1 Tb 0.2500 0.0000 0.1592 1
Ni1 Ni 0.0000 0.0000 0.5000 1
Ni2 Ni 0.0598 0.5000 0.8222 1
Ni3 Ni 0.2500 0.5000 0.4978 1
Ir1 Ir 0.2500 0.0000 0.7469 1
```

Output
For the formation energy, the calculation gives -6 kJ/mol of atoms. The calculation puts the magnetization at 1.23 μB per cell. As for the crystal system: orthorhombic. The calculation puts the total energy at -74.001 eV per cell.

=====

2.
The following is a PBE-GGA calculation of a relaxed LiCa2Au crystal, from Alexandria via LeMat-Bulk.

Cell and atoms, written as CIF:
```
data_LiCa2Au
_chemical_formula_sum 'Li1 Ca2 Au1'
_symmetry_space_group_name_H-M 'P 4 m m'
_symmetry_Int_Tables_number 99
_symmetry_space_group_name_Hall 'P 4 -2'
_cell_length_a 3.6837
_cell_length_b 3.6837
_cell_length_c 7.9343
_cell_angle_alpha 90.00
_cell_angle_beta 90.00
_cell_angle_gamma 90.00
loop_
_atom_site_label
_atom_site_type_symbol
_atom_site_fract_x
_atom_site_fract_y
_atom_site_fract_z
_atom_site_occupancy
Li1 Li 0.0000 0.0000 0.0000 1
Ca1 Ca 0.0000 0.0000 0.3647 1
Ca2 Ca 0.5000 0.5000 0.7399 1
Au1 Au 0.5000 0.5000 0.1388 1
```

Output
For the formation energy, the calculation gives -35 kJ/mol of atoms. The calculation puts the magnetization at 0.00 μB per cell. As for the crystal system: tetragonal. The calculation puts the total energy at -10.647 eV per cell.

=====

3.
The following is a PBE-GGA calculation of a relaxed ZrTlRe2 crystal, from Alexandria via LeMat-Bulk.

Cell and atoms, written as CIF:
```
data_ZrTlRe2
_chemical_formula_sum 'Zr2 Tl2 Re4'
_symmetry_space_group_name_H-M 'I m m m'
_symmetry_Int_Tables_number 71
_symmetry_space_group_name_Hall '-I 2 2'
_cell_length_a 3.3553
_cell_length_b 4.6620
_cell_length_c 9.3482
_cell_angle_alpha 90.00
_cell_angle_beta 90.00
_cell_angle_gamma 90.00
loop_
_atom_site_label
_atom_site_type_symbol
_atom_site_fract_x
_atom_site_fract_y
_atom_site_fract_z
_atom_site_occupancy
Zr1 Zr 0.0000 0.0000 0.0000 1
Tl1 Tl 0.0000 0.0000 0.5000 1
Re1 Re 0.0000 0.5000 0.2608 1
```

Output
For the formation energy, the calculation gives 50 kJ/mol of atoms. The calculation puts the magnetization at 0.00 μB per cell. As for the crystal system: orthorhombic. The calculation puts the total energy at -67.512 eV per cell.

=====

4.
The following is a PBE-GGA calculation of a relaxed Na2MnWBr crystal, from Alexandria via LeMat-Bulk.

Cell and atoms, written as CIF:
```
data_Na2MnWBr
_chemical_formula_sum 'Na2 Mn1 W1 Br1'
_symmetry_space_group_name_H-M 'P 4/m m m'
_symmetry_Int_Tables_number 123
_symmetry_space_group_name_Hall '-P 4 2'
_cell_length_a 5.6963
_cell_length_b 5.6963
_cell_length_c 4.2490
_cell_angle_alpha 90.00
_cell_angle_beta 90.00
_cell_angle_gamma 90.00
loop_
_atom_site_label
_atom_site_type_symbol
_atom_site_fract_x
_atom_site_fract_y
_atom_site_fract_z
_atom_site_occupancy
Na1 Na 0.0000 0.5000 0.0000 1
Mn1 Mn 0.0000 0.0000 0.0000 1
W1 W 0.0000 0.0000 0.5000 1
Br1 Br 0.5000 0.5000 0.5000 1
```

Output
The calculation puts the magnetization at 0.45 μB per cell. As for the crystal system: tetragonal. The calculation puts the total energy at -21.019 eV per cell.

=====

5.
The following is a PBE-GGA calculation of a relaxed InIrRu2 crystal, from Alexandria via LeMat-Bulk.

Cell and atoms, written as CIF:
```
data_InIrRu2
_chemical_formula_sum 'In2 Ir2 Ru4'
_symmetry_space_group_name_H-M 'C 1 m 1'
_symmetry_Int_Tables_number 8
_symmetry_space_group_name_Hall 'C -2y'
_cell_length_a 9.2265
_cell_length_b 2.8358
_cell_length_c 4.8313
_cell_angle_alpha 90.00
_cell_angle_beta 100.19
_cell_angle_gamma 90.00
loop_
_atom_site_label
_atom_site_type_symbol
_atom_site_fract_x
_atom_site_fract_y
_atom_site_fract_z
_atom_site_occupancy
In1 In 0.0000 0.0000 0.0000 1
Ir1 Ir 0.2420 0.0000 0.7370 1
Ru1 Ru 0.2589 0.5000 0.2763 1
Ru2 Ru 0.4983 0.0000 0.4958 1
```

Output
For the formation energy, the calculation gives 14 kJ/mol of atoms. The calculation puts the magnetization at 0.00 μB per cell. As for the crystal system: monoclinic. The calculation puts the total energy at -59.127 eV per cell.

=====

6.
The following is a PBE-GGA calculation of a relaxed Sn6PbAu5 crystal, from Alexandria via LeMat-Bulk.

Cell and atoms, written as CIF:
```
data_Sn6PbAu5
_chemical_formula_sum 'Sn12 Pb2 Au10'
_symmetry_space_group_name_H-M 'C 1 2/m 1'
_symmetry_Int_Tables_number 12
_symmetry_space_group_name_Hall '-C 2y'
_cell_length_a 7.3935
_cell_length_b 11.4130
_cell_length_c 7.2918
_cell_angle_alpha 90.00
_cell_angle_beta 106.71
_cell_angle_gamma 90.00
loop_
_atom_site_label
_atom_site_type_symbol
_atom_site_fract_x
_atom_site_fract_y
_atom_site_fract_z
_atom_site_occupancy
Sn1 Sn 0.1939 0.0000 0.2265 1
Sn2 Sn 0.2128 0.1876 0.7144 1
Pb1 Pb 0.0000 0.5000 0.0000 1
Au1 Au 0.0000 0.0000 0.5000 1
Au2 Au 0.0000 0.1924 0.0000 1
Au3 Au 0.0000 0.3724 0.5000 1
```

Output
For the formation energy, the calculation gives -11 kJ/mol of atoms. The calculation puts the magnetization at 0.00 μB per cell. As for the crystal system: monoclinic. The calculation puts the total energy at -91.051 eV per cell.

=====

7.
The following is a PBE-GGA calculation of a relaxed Cs2CuMoS4 crystal, from Alexandria via LeMat-Bulk.

Cell and atoms, written as CIF:
```
data_Cs2CuMoS4
_chemical_formula_sum 'Cs16 Cu8 Mo8 S32'
_symmetry_space_group_name_H-M 'F d d d'
_symmetry_Int_Tables_number 70
_cell_length_a 5.5934
_cell_length_b 14.4414
_cell_length_c 24.9814
_cell_angle_alpha 90.00
_cell_angle_beta 90.00
_cell_angle_gamma 90.00
loop_
_symmetry_equiv_pos_as_xyz
'x,y,z'
'-x,-y,-z'
'-x+1/4,-y+1/4,z'
'x+1/4,y+1/4,-z'
'x,-y+1/4,-z+1/4'
'-x,y+1/4,z+1/4'
'-x+1/4,y,-z+1/4'
'x+1/4,-y,z+1/4'
'x,y+1/2,z+1/2'
'-x,-y+1/2,-z+1/2'
'-x+1/4,-y+3/4,z+1/2'
'x+1/4,y+3/4,-z+1/2'
'x,-y+3/4,-z+3/4'
'-x,y+3/4,z+3/4'
'-x+1/4,y+1/2,-z+3/4'
'x+1/4,-y+1/2,z+3/4'
'x+1/2,y,z+1/2'
'-x+1/2,-y,-z+1/2'
'-x+3/4,-y+1/4,z+1/2'
'x+3/4,y+1/4,-z+1/2'
'x+1/2,-y+1/4,-z+3/4'
'-x+1/2,y+1/4,z+3/4'
'-x+3/4,y,-z+3/4'
'x+3/4,-y,z+3/4'
'x+1/2,y+1/2,z'
'-x+1/2,-y+1/2,-z'
'-x+3/4,-y+3/4,z'
'x+3/4,y+3/4,-z'
'x+1/2,-y+3/4,-z+1/4'
'-x+1/2,y+3/4,z+1/4'
'-x+3/4,y+1/2,-z+1/4'
'x+3/4,-y+1/2,z+1/4'
loop_
_atom_site_label
_atom_site_type_symbol
_atom_site_fract_x
_atom_site_fract_y
_atom_site_fract_z
_atom_site_occupancy
Cs1 Cs 0.1250 0.1250 0.3015 1
Cu1 Cu 0.1250 0.1250 0.1250 1
Mo1 Mo 0.1250 0.1250 0.6250 1
S1 S 0.1173 0.2846 0.8242 1
```

Output
The calculation puts the magnetization at 8.10 μB per cell. As for the crystal system: orthorhombic. The calculation puts the total energy at -320.223 eV per cell.

=====

8.
The following is a PBE-GGA calculation of a relaxed Ho5ThIr4 crystal, from Alexandria via LeMat-Bulk.

Cell and atoms, written as CIF:
```
data_Ho5ThIr4
_chemical_formula_sum 'Ho10 Th2 Ir8'
_symmetry_space_group_name_H-M 'C 1 2/m 1'
_symmetry_Int_Tables_number 12
_symmetry_space_group_name_Hall '-C 2y'
_cell_length_a 18.0482
_cell_length_b 4.2130
_cell_length_c 7.5071
_cell_angle_alpha 90.00
_cell_angle_beta 114.44
_cell_angle_gamma 90.00
loop_
_atom_site_label
_atom_site_type_symbol
_atom_site_fract_x
_atom_site_fract_y
_atom_site_fract_z
_atom_site_occupancy
Ho1 Ho 0.0000 0.0000 0.0000 1
Ho2 Ho 0.1670 0.5000 0.4257 1
Ho3 Ho 0.1668 0.5000 0.9097 1
Th1 Th 0.0000 0.0000 0.5000 1
Ir1 Ir 0.0002 0.5000 0.2402 1
Ir2 Ir 0.1973 0.0000 0.6979 1
```

Output
For the formation energy, the calculation gives -72 kJ/mol of atoms. The calculation puts the magnetization at 0.00 μB per cell. As for the crystal system: monoclinic. The calculation puts the total energy at -146.416 eV per cell.

=====

9.
The following is a PBE-GGA calculation of a relaxed MgTlAuSe2 crystal, from Alexandria via LeMat-Bulk.

Cell and atoms, written as CIF:
```
data_MgTlAuSe2
_chemical_formula_sum 'Mg2 Tl2 Au2 Se4'
_symmetry_space_group_name_H-M 'P 1 2/c 1'
_symmetry_Int_Tables_number 13
_symmetry_space_group_name_Hall '-P 2yc'
_cell_length_a 7.3149
_cell_length_b 5.5794
_cell_length_c 7.1087
_cell_angle_alpha 90.00
_cell_angle_beta 104.37
_cell_angle_gamma 90.00
loop_
_atom_site_label
_atom_site_type_symbol
_atom_site_fract_x
_atom_site_fract_y
_atom_site_fract_z
_atom_site_occupancy
Mg1 Mg 0.0000 0.0087 0.2500 1
Tl1 Tl 0.5000 0.3375 0.7500 1
Au1 Au 0.0000 0.5000 0.0000 1
Se1 Se 0.2402 0.1821 0.0563 1
```

Output
The calculation puts the magnetization at 0.00 μB per cell. As for the crystal system: monoclinic. The calculation puts the total energy at -34.762 eV per cell.

=====

10.
The following is a PBE-GGA calculation of a relaxed Ce2PmPN5 crystal, from Alexandria via LeMat-Bulk.

Cell and atoms, written as CIF:
```
data_Ce2PmPN5
_chemical_formula_sum 'Ce4 Pm2 P2 N10'
_symmetry_space_group_name_H-M 'P 4/m b m'
_symmetry_Int_Tables_number 127
_symmetry_space_group_name_Hall '-P 4 2ab'
_cell_length_a 6.5443
_cell_length_b 6.5443
_cell_length_c 5.6181
_cell_angle_alpha 90.00
_cell_angle_beta 90.00
_cell_angle_gamma 90.00
loop_
_atom_site_label
_atom_site_type_symbol
_atom_site_fract_x
_atom_site_fract_y
_atom_site_fract_z
_atom_site_occupancy
Ce1 Ce 0.1785 0.3215 0.0000 1
Pm1 Pm 0.0000 0.0000 0.5000 1
P1 P 0.0000 0.5000 0.5000 1
N1 N 0.0000 0.0000 0.0000 1
N2 N 0.1337 0.6337 0.2824 1
```

Output
The calculation puts the magnetization at 0.00 μB per cell. As for the crystal system: tetragonal. The calculation puts the total energy at -145.258 eV per cell.

=====

11.
The following is a PBE-GGA calculation of a relaxed Tb12Y6Ho crystal, from Alexandria via LeMat-Bulk.

Cell and atoms, written as CIF:
```
data_Tb12Y6Ho
_chemical_formula_sum 'Tb36 Y18 Ho3'
_symmetry_space_group_name_H-M 'R -3 m'
_symmetry_Int_Tables_number 166
_symmetry_space_group_name_Hall '-R 3 2"'
_cell_length_a 13.1904
_cell_length_b 13.1904
_cell_length_c 12.6544
_cell_angle_alpha 90.00
_cell_angle_beta 90.00
_cell_angle_gamma 120.00
loop_
_atom_site_label
_atom_site_type_symbol
_atom_site_fract_x
_atom_site_fract_y
_atom_site_fract_z
_atom_site_occupancy
Tb1 Tb 0.0000 0.2572 0.0000 1
Tb2 Tb 0.0911 0.1822 0.7641 1
Y1 Y 0.0402 0.5201 0.1194 1
Ho1 Ho 0.0000 0.0000 0.5000 1
```

Output
For the formation energy, the calculation gives 20 kJ/mol of atoms. The calculation puts the magnetization at 0.00 μB per cell. As for the crystal system: trigonal. The calculation puts the total energy at -284.729 eV per cell.

=====

12.
The following is a PBE-GGA calculation of a relaxed AlAsCl crystal, from Alexandria via LeMat-Bulk.

Cell and atoms, written as CIF:
```
data_AlAsCl
_chemical_formula_sum 'Al4 As4 Cl4'
_symmetry_space_group_name_H-M 'C 1 2/m 1'
_symmetry_Int_Tables_number 12
_symmetry_space_group_name_Hall '-C 2y'
_cell_length_a 10.7127
_cell_length_b 4.1328
_cell_length_c 6.8020
_cell_angle_alpha 90.00
_cell_angle_beta 112.72
_cell_angle_gamma 90.00
loop_
_atom_site_label
_atom_site_type_symbol
_atom_site_fract_x
_atom_site_fract_y
_atom_site_fract_z
_atom_site_occupancy
Al1 Al 0.1127 0.0000 0.2718 1
As1 As 0.1136 0.5000 0.4793 1
Cl1 Cl 0.1274 0.0000 0.9497 1
```

Output
The calculation puts the magnetization at 0.00 μB per cell. As for the crystal system: monoclinic. The calculation puts the total energy at -49.551 eV per cell.